A plane-wave DFT calculation with GGA-PBE was carried out for a relaxed structure of YIr2Rh.

abc: 2.941 4.569 4.991
angles: 90.00 90.00 90.00
Space group Pmm2 (No. 25)
Symmetry-distinct sites (fractional):
Y1 0.000 0.000 0.000 x1
Ir1 0.000 0.500 0.610 x1
Ir2 0.500 0.000 0.504 x1
Rh1 0.500 0.500 0.147 x1

Output
M_tot = 0.000 μB/atom
energy above the most stable polymorph in this dataset = 141.9 meV/atom
ΔH_f (0 K) = -104 kJ/mol of formula units